# 1
Here is a relaxed structure of BaNpN2 from Alexandria. Energies are from GGA-PBE.

```
BaNpN2
1.0
3.570 0.000 0.000
1.785 3.092 0.000
1.785 1.031 6.500
Ba N Np
1 2 1
direct
0.494 0.494 0.518 Ba
0.059 0.059 0.823 N
0.280 0.280 0.159 N
0.667 0.667 0.999 Np
```

Results
- V: 72 Å³/cell
- Formation energy from raw total energies: -807 meV per atom
- Uncorrected energy: -34.74 eV/f.u.
- Crystal system: trigonal

---

# 2
Here is a relaxed structure of Zr3Ta from Alexandria. Energies are from GGA-PBE.

```
Zr3Ta
1.0
-3.575 2.297 -1.392
2.237 -3.157 -3.772
-2.179 -3.835 -0.733
Zr Ta
3 1
direct
0.500 0.000 0.500 Zr
0.250 0.500 0.250 Zr
0.750 0.500 0.750 Zr
0.000 0.000 0.000 Ta
```

Results
- Energy of formation: 0.7 eV/f.u.
- V: 88 Å³/cell
- Energy above the most stable polymorph in this dataset: 0.063 eV/atom
- Uncorrected energy: -36.83 eV/f.u.
- Crystal system: tetragonal

---

# 3
Here is a relaxed structure of CeNd6Er3 from Alexandria. Energies are from GGA-PBE.

```
CeNd6Er3
1.0
-4.583 1.121 -3.151
-3.184 -9.460 1.264
-3.527 2.739 11.615
Nd Er Ce
12 6 2
direct
0.433 0.830 0.852 Nd
0.933 0.670 0.352 Nd
0.003 0.316 0.000 Nd
0.351 0.499 0.237 Nd
0.567 0.170 0.148 Nd
0.997 0.684 0.000 Nd
0.851 0.001 0.737 Nd
0.497 0.816 0.500 Nd
0.649 0.501 0.763 Nd
0.067 0.330 0.648 Nd
0.149 0.999 0.263 Nd
0.503 0.184 0.500 Nd
0.449 0.167 0.866 Er
0.949 0.333 0.366 Er
0.000 0.000 0.500 Er
0.500 0.500 0.000 Er
0.551 0.833 0.134 Er
0.051 0.667 0.634 Er
0.000 0.000 0.000 Ce
0.500 0.500 0.500 Ce
```

Results
- Energy of formation: 2.2 eV/f.u.
- V: 689 Å³/cell
- Uncorrected energy: -46.02 eV/f.u.
- Crystal system: monoclinic

---

# 4
Here is a relaxed structure of Ho2CdCu2 from Alexandria. Energies are from GGA-PBE.

```
Ho2CdCu2
1.0
-0.329 1.593 3.384
2.680 -6.206 3.182
6.944 2.694 -0.594
Ho Cu Cd
4 4 2
direct
0.500 0.326 0.826 Ho
0.500 0.674 0.174 Ho
0.500 0.826 0.674 Ho
0.500 0.174 0.326 Ho
0.000 0.620 0.880 Cu
0.000 0.380 0.120 Cu
0.000 0.880 0.380 Cu
0.000 0.120 0.620 Cu
0.000 0.500 0.500 Cd
0.000 0.000 0.000 Cd
```

Results
- Energy of formation: -1.6 eV/f.u.
- V: 210 Å³/cell
- Uncorrected energy: -19.85 eV/f.u.
- Crystal system: tetragonal

---

# 5
Here is a relaxed structure of Sc3GeO from Alexandria. Energies are from GGA-PBE.

```
Sc3GeO
1.0
4.350 0.000 0.000
0.000 4.350 0.000
0.000 0.000 4.350
O Sc Ge
1 3 1
direct
0.000 0.000 0.000 O
0.000 0.000 0.500 Sc
0.000 0.500 0.000 Sc
0.500 0.000 0.000 Sc
0.500 0.500 0.500 Ge
```

Results
- V: 82 Å³/cell
- Formation energy from raw total energies: -1485 meV per atom
- Energy above the most stable polymorph in this dataset: 0.000 eV/atom
- Uncorrected energy: -35.99 eV/f.u.
- Crystal system: cubic

---

# 6
Here is a relaxed structure of CrP2 from Alexandria. Energies are from GGA-PBE.

```
CrP2
1.0
4.266 0.000 0.000
-2.133 3.694 0.000
0.000 0.000 2.407
P Cr
2 1
direct
0.667 0.333 0.000 P
0.333 0.667 0.000 P
0.000 0.000 0.000 Cr
```

Results
- Energy of formation: 0.5 eV/f.u.
- V: 38 Å³/cell
- Uncorrected energy: -19.97 eV/f.u.
- Crystal system: hexagonal

---

# 7
Here is a relaxed structure of TmTiNi4 from Alexandria. Energies are from GGA-PBE.

```
TmTiNi4
1.0
4.891 0.000 0.000
2.446 4.236 0.000
2.446 1.412 3.994
Ni Ti Tm
4 1 1
direct
0.624 0.624 0.624 Ni
0.624 0.624 0.127 Ni
0.127 0.624 0.624 Ni
0.624 0.127 0.624 Ni
0.250 0.250 0.250 Ti
0.000 0.000 0.000 Tm
```

Results
- Energy of formation: -2.3 eV/f.u.
- V: 83 Å³/cell
- Uncorrected energy: -37.79 eV/f.u.
- Crystal system: cubic

---

# 8
Here is a relaxed structure of Ba3In2Pd7 from Alexandria. Energies are from GGA-PBE.

```
Ba3In2Pd7
1.0
-4.626 2.824 -2.373
-3.912 -2.977 -3.293
-7.677 -1.808 5.437
Pd Ba In
7 3 2
direct
0.578 0.578 0.758 Pd
0.500 0.500 0.500 Pd
0.422 0.422 0.242 Pd
0.913 0.422 0.242 Pd
0.578 0.087 0.758 Pd
0.422 0.913 0.242 Pd
0.087 0.578 0.758 Pd
0.860 0.860 0.420 Ba
0.140 0.140 0.580 Ba
0.000 0.000 0.000 Ba
0.331 0.331 0.006 In
0.669 0.669 0.994 In
```

Results
- Energy of formation: -6.8 eV/f.u.
- V: 271 Å³/cell
- Uncorrected energy: -54.43 eV/f.u.
- Crystal system: trigonal